Entry 1:
First-principles (PBE) data for KLaCo2 after structural relaxation, as listed in the Alexandria database.

Lattice parameters (Å, degrees): 3.3743 3.3743 9.0160 90.00 90.00 90.00
Closest atoms and distances in Å follow each position.
Fractional positions:
Co (0.0000, 0.0000, 0.0743)  4 Co 2.45
Co (0.5000, 0.5000, 0.1373)  4 Co 2.45, 1 La 2.47
K (0.0000, 0.0000, 0.4255)  5 Co 3.17-3.53, 4 K 3.37
La (0.5000, 0.5000, 0.8628)  1 Co 2.47

Properties
formation energy from the elements = 0.396 eV/atom
final energy = -18.65 eV/cell
DOS at the Fermi energy = 1.014 states/eV per atom

---

Entry 2:
First-principles (PBE) data for Ba2MgMn after structural relaxation, as listed in the Alexandria database.

Lattice parameters (Å, degrees): 10.7844 10.7844 10.7844 22.62 22.62 22.62
Closest atoms and distances in Å follow each position.
Fractional positions:
Ba (0.0091, 0.0091, 0.0091)  3 Mn 3.38
Ba (0.4909, 0.4909, 0.4909)  3 Mn 3.38
Mg (0.2500, 0.2500, 0.2500)  6 Ba 3.80, 6 Mg 4.23
Mn (0.7500, 0.7500, 0.7500)  6 Ba 3.38

Properties
formation energy from the elements = 0.509 eV/atom
final energy = -12.57 eV/cell
DOS at the Fermi energy = 1.185 states/eV per atom

---

Entry 3:
First-principles (PBE) data for LiZrCd2 after structural relaxation, as listed in the Alexandria database.

Lattice parameters (Å, degrees): 5.3008 5.3008 5.6648 83.82 83.82 31.84
Closest atoms and distances in Å follow each position.
Fractional positions:
Cd (0.0033, 0.0033, 0.0150)  5 Cd 2.91-3.25, 3 Zr 3.00-3.03, 4 Li 3.14-3.24
Cd (0.7455, 0.7455, 0.7251)  5 Cd 2.91-3.25, 3 Li 2.92-3.02, 4 Zr 3.13-3.24
Li (0.4931, 0.4931, 0.5269)  2 Li 2.91, 7 Cd 2.92-3.24, 1 Zr 3.07
Zr (0.2581, 0.2581, 0.2330)  2 Zr 2.91, 7 Cd 3.00-3.24, 1 Li 3.07

Properties
formation energy from the elements = -0.037 eV/atom
final energy = -12.44 eV/cell
DOS at the Fermi energy = 0.314 states/eV per atom

---

Entry 4:
First-principles (PBE) data for LaNpPd6 after structural relaxation, as listed in the Alexandria database.

Lattice parameters (Å, degrees): 4.1833 4.1833 8.3701 90.00 90.00 90.00
Closest atoms and distances in Å follow each position.
Fractional positions:
La (0.0000, 0.0000, 0.0000)  12 Pd 2.96-3.02
Np (0.0000, 0.0000, 0.5000)  12 Pd 2.90-2.96
Pd (0.5000, 0.5000, 0.0000)  4 La 2.96, 8 Pd 3.02
Pd (0.5000, 0.5000, 0.5000)  8 Pd 2.90, 4 Np 2.96
Pd (0.5000, 0.0000, 0.2602)  8 Pd 2.90-3.02, 2 Np 2.90, 2 La 3.02
Pd (0.5000, 0.0000, 0.7398)  2 Np 2.90, 8 Pd 2.90-3.02, 2 La 3.02
Pd (0.0000, 0.5000, 0.2602)  8 Pd 2.90-3.02, 2 Np 2.90, 2 La 3.02
Pd (0.0000, 0.5000, 0.7398)  2 Np 2.90, 8 Pd 2.90-3.02, 2 La 3.02

Properties
formation energy from the elements = -0.627 eV/atom
final energy = -54.04 eV/cell
DOS at the Fermi energy = 1.770 states/eV per atom

---

Entry 5:
First-principles (PBE) data for NaPaTeO2 after structural relaxation, as listed in the Alexandria database.

Lattice parameters (Å, degrees): 3.9258 3.9258 6.9762 106.34 106.34 90.00
Closest atoms and distances in Å follow each position.
Fractional positions:
Na (0.8483, 0.8483, 0.6967)  4 O 2.44
Pa (0.1664, 0.1664, 0.3328)  4 O 2.15
Te (0.5139, 0.5139, 0.0277)  4 Pa 3.39, 4 O 3.45, 4 Na 3.49
O (0.7357, 0.2357, 0.4714)  2 Pa 2.15
O (0.2357, 0.7357, 0.4714)  2 Pa 2.15

Properties
final energy = -36.02 eV/cell
formation energy from raw total energies = -2429 meV/atom

---

Entry 6:
First-principles (PBE) data for NaCoAu2 after structural relaxation, as listed in the Alexandria database.

Lattice parameters (Å, degrees): 4.5761 4.5761 4.5761 60.00 60.00 60.00
Closest atoms and distances in Å follow each position.
Fractional positions:
Co (0.5000, 0.5000, 0.5000)  8 Au 2.80
Au (0.2500, 0.2500, 0.2500)  4 Na 2.80, 4 Co 2.80
Au (0.7500, 0.7500, 0.7500)  4 Na 2.80, 4 Co 2.80
Na (0.0000, 0.0000, 0.0000)  8 Au 2.80

Properties
formation energy from the elements = 0.217 eV/atom
final energy = -14.11 eV/cell
DOS at the Fermi energy = 2.675 states/eV per atom

---

Entry 7:
First-principles (PBE) data for Na2HfRu after structural relaxation, as listed in the Alexandria database.

Lattice parameters (Å, degrees): 4.7803 4.7803 4.7803 60.00 60.00 60.00
Closest atoms and distances in Å follow each position.
Fractional positions:
Ru (0.0000, 0.0000, 0.0000)  8 Na 2.93
Hf (0.5000, 0.5000, 0.5000)  8 Na 2.93
Na (0.2500, 0.2500, 0.2500)  4 Hf 2.93, 4 Ru 2.93
Na (0.7500, 0.7500, 0.7500)  4 Hf 2.93, 4 Ru 2.93

Properties
formation energy from the elements = 1.111 eV/atom
final energy = -17.42 eV/cell
DOS at the Fermi energy = 0.929 states/eV per atom

---

Entry 8:
First-principles (PBE) data for Al4Cu3Pd after structural relaxation, as listed in the Alexandria database.

Lattice parameters (Å, degrees): 3.1171 3.1171 11.3153 90.00 90.00 90.00
Closest atoms and distances in Å follow each position.
Fractional positions:
Pd (0.5000, 0.5000, 0.0000)  8 Al 2.65, 2 Cu 2.91
Al (0.0000, 0.0000, 0.8699)  4 Cu 2.63, 4 Pd 2.65, 2 Al 2.78-2.94
Al (0.0000, 0.0000, 0.1301)  4 Cu 2.63, 4 Pd 2.65, 2 Al 2.78-2.94
Al (0.0000, 0.0000, 0.3759)  8 Cu 2.58-2.61, 2 Al 2.78-2.81
Al (0.0000, 0.0000, 0.6241)  8 Cu 2.58-2.61, 2 Al 2.78-2.81
Cu (0.5000, 0.5000, 0.2568)  8 Al 2.58-2.63, 1 Cu 2.75
Cu (0.5000, 0.5000, 0.5000)  8 Al 2.61, 2 Cu 2.75
Cu (0.5000, 0.5000, 0.7432)  8 Al 2.58-2.63, 1 Cu 2.75

Properties
formation energy from the elements = -0.356 eV/atom
final energy = -35.30 eV/cell
DOS at the Fermi energy = 0.307 states/eV per atom

---

Entry 9:
First-principles (PBE) data for ScAs2RhBr after structural relaxation, as listed in the Alexandria database.

Lattice parameters (Å, degrees): 5.1059 5.1059 5.0499 90.00 90.00 90.00
Closest atoms and distances in Å follow each position.
Fractional positions:
Sc (0.0000, 0.0000, 0.0000)  2 Br 2.52, 4 As 2.55
As (0.0000, 0.5000, 0.0000)  2 Sc 2.55
As (0.5000, 0.0000, 0.0000)  2 Sc 2.55
Rh (0.5000, 0.5000, 0.5000)  8 As 3.59, 4 Br 3.61
Br (0.0000, 0.0000, 0.5000)  2 Sc 2.52

Properties
final energy = -22.16 eV/cell
formation energy from raw total energies = 499 meV/atom
DOS at the Fermi energy = 1.239 states/eV per atom

---

Entry 10:
First-principles (PBE) data for AcNd2Au after structural relaxation, as listed in the Alexandria database.

Lattice parameters (Å, degrees): 3.8968 3.8968 11.5542 80.29 80.29 60.00
Closest atoms and distances in Å follow each position.
Fractional positions:
Nd (0.1085, 0.1085, 0.6745)  3 Au 3.00
Nd (0.8915, 0.8915, 0.3255)  3 Au 3.00
Ac (0.0000, 0.0000, 0.0000)  2 Nd 3.69, 6 Ac 3.90
Au (0.5000, 0.5000, 0.5000)  6 Nd 3.00

Properties
formation energy from the elements = -0.084 eV/atom
final energy = -17.26 eV/cell
DOS at the Fermi energy = 1.147 states/eV per atom

---

Entry 11:
First-principles (PBE) data for Rb4Ce3CrS8 after structural relaxation, as listed in the Alexandria database.

Lattice parameters (Å, degrees): 8.1359 9.0000 8.3447 117.27 119.18 90.00
Closest atoms and distances in Å follow each position.
Fractional positions:
Rb (0.5000, 0.0000, 0.0000)  6 S 3.21-3.54
Rb (0.5000, 0.0000, 0.5000)  6 S 3.28-3.44
Rb (0.0000, 0.0000, 0.0000)  6 S 3.33-3.41
Rb (0.0000, 0.0000, 0.5000)  6 S 3.28-3.44
Ce (0.5000, 0.5000, 0.0000)  6 S 2.83-2.85
Ce (0.5000, 0.5000, 0.5000)  6 S 2.77-2.88
Ce (0.0000, 0.5000, 0.5000)  6 S 2.77-2.88
Cr (0.0000, 0.5000, 0.0000)  4 S 2.56
S (0.2095, 0.6783, 0.9621)  1 Cr 2.56, 1 Ce 2.83
S (0.2478, 0.7068, 0.4957)  2 Ce 2.77, 1 Cr 3.07
S (0.2702, 0.3021, 0.5404)  3 Ce 2.82-2.85
S (0.7526, 0.6783, 0.9621)  1 Cr 2.56, 1 Ce 2.83
S (0.2474, 0.3217, 0.0379)  1 Cr 2.56, 1 Ce 2.83
S (0.7298, 0.6979, 0.4596)  3 Ce 2.82-2.85
S (0.7522, 0.2932, 0.5043)  2 Ce 2.77, 1 Cr 3.07
S (0.7905, 0.3217, 0.0379)  1 Cr 2.56, 1 Ce 2.83

Properties
final energy = -88.42 eV/cell
formation energy from raw total energies = -1507 meV/atom
DOS at the Fermi energy = 0.903 states/eV per atom

---

Entry 12:
First-principles (PBE) data for Sr2BeFe after structural relaxation, as listed in the Alexandria database.

Lattice parameters (Å, degrees): 7.3741 7.3741 7.3741 149.06 144.54 47.76
Closest atoms and distances in Å follow each position.
Fractional positions:
Sr (0.0006, 0.0006, 0.0000)  2 Fe 3.12, 4 Be 3.22
Sr (0.7468, 0.2468, 0.5000)  2 Be 3.16, 4 Fe 3.24
Fe (0.3404, 0.8404, 0.5000)  2 Be 2.19
Be (0.4121, 0.4121, 0.0000)  2 Fe 2.19

Properties
formation energy from the elements = 0.466 eV/atom
final energy = -13.69 eV/cell
DOS at the Fermi energy = 0.865 states/eV per atom

---

Calculated magnetic moment, 0.647, 0.897, 0.000, 0.373, 0.000, 0.460, 0.000, 0.000, 0.199, 0.000, 0.375, 0.411 μB per atom (same order as the records).